4
Lattice="-3.378 0.820 -4.014 -0.839 -4.269 -3.045 -0.408 1.948 4.923" Properties=species:S:1:pos:R:3 comment="YTcRu2 (GGA-PBE, optimized geometry)" total_magnetization_mub_per_atom=0.000 ef_ev_per_atom=0.222 spacegroup=Immm pbc="T T T"
Ru -4.094 -3.349 -6.853
Ru -2.231 -1.825 -3.735
Tc -2.947 0.522 -1.310
Y -1.677 -2.023 -0.825